First-principles (PBE+U) data for crystalline SmTlV2O8 at its relaxed geometry, as listed in Alexandria via LeMat-Bulk.

abc: 6.067 6.067 6.067
angles: 106.55 106.55 115.49
Atoms (fractional coordinates):
Sm  0.000  0.000  0.000
Tl  0.250  0.750  0.500
V  0.750  0.250  0.500
V  0.500  0.500  0.000
O  0.394  0.081  0.314
O  0.327  0.512  0.185
O  0.327  0.142  0.815
O  0.767  0.081  0.686
O  0.858  0.673  0.185
O  0.919  0.233  0.314
O  0.919  0.606  0.686
O  0.488  0.673  0.815

Summary:
- Magnetic moment: 0.00 Bohr magnetons per cell
- E_tot: -7.13 eV per atom
- ρ: 5.69 g/cm3
- Symmetry: I-4m2 (119)